This record from the Open Quantum Materials Database describes crystalline TaCd2Tc at its relaxed geometry. The functional is GGA-PBE.

Unit cell a=6.5951 b=6.5951 c=6.5951 alpha=90.00 beta=90.00 gamma=90.00
Last column: nearest neighbours and their distance in Å.
Sites, in units of the cell vectors:
Ta 0.0000 0.0000 0.0000  4 Cd 2.86, 4 Tc 2.86
Ta 0.0000 0.5000 0.5000  4 Cd 2.86, 4 Tc 2.86
Ta 0.5000 0.0000 0.5000  4 Cd 2.86, 4 Tc 2.86
Ta 0.5000 0.5000 0.0000  4 Cd 2.86, 4 Tc 2.86
Cd 0.0000 0.0000 0.5000  4 Cd 2.86, 4 Tc 2.86
Cd 0.0000 0.5000 0.0000  4 Cd 2.86, 4 Tc 2.86
Cd 0.2500 0.2500 0.7500  4 Cd 2.86, 4 Ta 2.86
Cd 0.2500 0.7500 0.2500  4 Cd 2.86, 4 Ta 2.86
Cd 0.5000 0.0000 0.0000  4 Cd 2.86, 4 Tc 2.86
Cd 0.5000 0.5000 0.5000  4 Cd 2.86, 4 Tc 2.86
Cd 0.7500 0.2500 0.2500  4 Cd 2.86, 4 Ta 2.86
Cd 0.7500 0.7500 0.7500  4 Ta 2.86, 4 Cd 2.86
Tc 0.2500 0.2500 0.2500  4 Cd 2.86, 4 Ta 2.86
Tc 0.2500 0.7500 0.7500  4 Cd 2.86, 4 Ta 2.86
Tc 0.7500 0.2500 0.7500  4 Cd 2.86, 4 Ta 2.86
Tc 0.7500 0.7500 0.2500  4 Cd 2.86, 4 Ta 2.86

## Properties
VASP energy (eV per atom): -5.602
ΔE_f (meV per atom): 399
V (Å³/f.u.): 72
Space-group type: No. 216